[1]
# Y3MnC3, optimized geometry, DFT PBE
data_Y3MnC3
_cell_length_a 8.480
_cell_length_b 10.348
_cell_length_c 5.105
_cell_angle_alpha 90.00
_cell_angle_beta 90.00
_cell_angle_gamma 90.00
_symmetry_space_group_name_H-M 'C m c m'
_symmetry_Int_Tables_number 63
_symmetry_space_group_name_Hall '-C 2c 2'
loop_
_atom_site_label
_atom_site_type_symbol
_atom_site_fract_x
_atom_site_fract_y
_atom_site_fract_z
Y1 Y 0.000 0.107 0.250
Y2 Y 0.211 0.380 0.250
Mn1 Mn 0.000 0.303 0.750
C1 C 0.000 0.126 0.750
C2 C 0.195 0.372 0.750
# * total energy: -8.349 eV per atom
# * density of states at the Fermi level: 16.72 states/eV per cell
# * total magnetization: 0.004 μB per atom
# * formation energy from the elements: -0.32 eV per atom

---

[2]
# YMn5C2, optimized geometry, DFT PBE
data_YMn5C2
_cell_length_a 3.248
_cell_length_b 6.524
_cell_length_c 8.463
_cell_angle_alpha 90.00
_cell_angle_beta 90.00
_cell_angle_gamma 90.00
_symmetry_space_group_name_H-M 'I m m m'
_symmetry_Int_Tables_number 71
_symmetry_space_group_name_Hall '-I 2 2'
loop_
_atom_site_label
_atom_site_type_symbol
_atom_site_fract_x
_atom_site_fract_y
_atom_site_fract_z
Y1 Y 0.000 0.000 0.000
Mn1 Mn 0.000 0.184 0.338
Mn2 Mn 0.000 0.500 0.000
C1 C 0.000 0.500 0.248
# * total energy: -8.828 eV per atom
# * density of states at the Fermi level: 17.03 states/eV per cell
# * total magnetization: 0.822 μB per atom
# * formation energy from the elements: 0.02 eV per atom

---

[3]
# YMnC3, optimized geometry, DFT PBE
data_YMnC3
_cell_length_a 3.816
_cell_length_b 3.816
_cell_length_c 3.816
_cell_angle_alpha 90.00
_cell_angle_beta 90.00
_cell_angle_gamma 90.00
_symmetry_space_group_name_H-M 'P m -3 m'
_symmetry_Int_Tables_number 221
_symmetry_space_group_name_Hall '-P 4 2 3'
loop_
_atom_site_label
_atom_site_type_symbol
_atom_site_fract_x
_atom_site_fract_y
_atom_site_fract_z
Y1 Y 0.000 0.000 0.000
Mn1 Mn 0.500 0.500 0.500
C1 C 0.000 0.500 0.500
# * total energy: -7.842 eV per atom
# * density of states at the Fermi level: 4.05 states/eV per cell
# * total magnetization: 0.000 μB per atom
# * formation energy from the elements: 0.82 eV per atom

---

[4]
# YMnC, optimized geometry, DFT PBE
data_YMnC
_cell_length_a 3.4105
_cell_length_b 3.4105
_cell_length_c 4.1661
_cell_angle_alpha 90.00
_cell_angle_beta 90.00
_cell_angle_gamma 120.00
_symmetry_space_group_name_H-M 'P 3 m 1'
_symmetry_Int_Tables_number 156
loop_
_symmetry_equiv_pos_as_xyz
'x,y,z'
'-y,x-y,z'
'-x+y,-x,z'
'-y,-x,z'
'-x+y,y,z'
'x,x-y,z'
loop_
_atom_site_label
_atom_site_type_symbol
_atom_site_fract_x
_atom_site_fract_y
_atom_site_fract_z
Y1 Y 0.0000 0.0000 0.0000
Mn1 Mn 0.6667 0.3333 0.5008
C1 C 0.3333 0.6667 0.5018
# * total energy: -8.246 eV per atom
# * density of states at the Fermi level: 2.25 states/eV per cell
# * total magnetization: 0.000 μB per atom
# * formation energy from the elements: 0.04 eV per atom
# * energy above the lowest structure with this stoichiometry: 86 meV/atom

---

[5]
# Y4Mn2C, optimized geometry, DFT PBE
data_Y4Mn2C
_cell_length_a 4.819
_cell_length_b 4.819
_cell_length_c 15.134
_cell_angle_alpha 90.00
_cell_angle_beta 90.00
_cell_angle_gamma 90.00
_symmetry_space_group_name_H-M 'I 4/m m m'
_symmetry_Int_Tables_number 139
_symmetry_space_group_name_Hall '-I 4 2'
loop_
_atom_site_label
_atom_site_type_symbol
_atom_site_fract_x
_atom_site_fract_y
_atom_site_fract_z
Y1 Y 0.000 0.000 0.163
Y2 Y 0.000 0.500 0.000
Mn1 Mn 0.000 0.000 0.366
C1 C 0.000 0.000 0.000
# * total energy: -7.352 eV per atom
# * density of states at the Fermi level: 20.83 states/eV per cell
# * total magnetization: 0.915 μB per atom
# * formation energy from the elements: 0.28 eV per atom

---

[6]
# Y2Mn17C2, optimized geometry, DFT PBE
data_Y2Mn17C2
_cell_length_a 9.545
_cell_length_b 8.585
_cell_length_c 6.439
_cell_angle_alpha 90.00
_cell_angle_beta 98.31
_cell_angle_gamma 90.00
_symmetry_space_group_name_H-M 'C 1 2/m 1'
_symmetry_Int_Tables_number 12
loop_
_symmetry_equiv_pos_as_xyz
'x,y,z'
'-x,-y,-z'
'-x,y,-z'
'x,-y,z'
'x+1/2,y+1/2,z'
'-x+1/2,-y+1/2,-z'
'-x+1/2,y+1/2,-z'
'x+1/2,-y+1/2,z'
loop_
_atom_site_label
_atom_site_type_symbol
_atom_site_fract_x
_atom_site_fract_y
_atom_site_fract_z
Y1 Y 0.148 0.000 0.351
Mn1 Mn 0.000 0.224 0.000
Mn2 Mn 0.000 0.500 0.500
Mn3 Mn 0.096 0.500 0.902
Mn4 Mn 0.099 0.262 0.661
Mn5 Mn 0.144 0.361 0.279
Mn6 Mn 0.149 0.000 0.875
Mn7 Mn 0.250 0.250 0.000
C1 C 0.250 0.250 0.500
# * total energy: -8.987 eV per atom
# * density of states at the Fermi level: 42.56 states/eV per cell
# * total magnetization: 0.316 μB per atom
# * formation energy from the elements: -0.07 eV per atom

---

[7]
# Y2Mn17C3, optimized geometry, DFT PBE
data_Y2Mn17C3
_cell_length_a 8.5693
_cell_length_b 8.5693
_cell_length_c 12.4281
_cell_angle_alpha 90.00
_cell_angle_beta 90.00
_cell_angle_gamma 120.00
_symmetry_space_group_name_H-M 'R -3 m'
_symmetry_Int_Tables_number 166
_symmetry_space_group_name_Hall '-R 3 2"'
loop_
_atom_site_label
_atom_site_type_symbol
_atom_site_fract_x
_atom_site_fract_y
_atom_site_fract_z
Y1 Y 0.0000 0.0000 0.1497
Mn1 Mn 0.0000 0.0000 0.4050
Mn2 Mn 0.0000 0.2798 0.5000
Mn3 Mn 0.0000 0.5000 0.0000
Mn4 Mn 0.0160 0.5080 0.3471
C1 C 0.0000 0.5000 0.5000
# * total energy: -9.021 eV per atom
# * density of states at the Fermi level: 70.98 states/eV per cell
# * total magnetization: 0.389 μB per atom
# * formation energy from the elements: -0.09 eV per atom
# * energy above the lowest structure with this stoichiometry: 0 meV/atom

---

[8]
# YMnC, optimized geometry, DFT PBE
data_YMnC
_cell_length_a 8.693
_cell_length_b 4.430
_cell_length_c 5.004
_cell_angle_alpha 90.00
_cell_angle_beta 90.00
_cell_angle_gamma 90.00
_symmetry_space_group_name_H-M 'P n m a'
_symmetry_Int_Tables_number 62
loop_
_symmetry_equiv_pos_as_xyz
'x,y,z'
'-x,-y,-z'
'-x+1/2,-y,z+1/2'
'x+1/2,y,-z+1/2'
'x+1/2,-y+1/2,-z+1/2'
'-x+1/2,y+1/2,z+1/2'
'-x,y+1/2,-z'
'x,-y+1/2,z'
loop_
_atom_site_label
_atom_site_type_symbol
_atom_site_fract_x
_atom_site_fract_y
_atom_site_fract_z
Y1 Y 0.161 0.250 0.012
Mn1 Mn 0.000 0.000 0.500
C1 C 0.093 0.750 0.240
# * total energy: -8.332 eV per atom
# * density of states at the Fermi level: 9.28 states/eV per cell
# * total magnetization: 0.070 μB per atom
# * formation energy from the elements: -0.05 eV per atom
# * energy above the lowest structure with this stoichiometry: 0 meV/atom

---

[9]
# Y2MnZnC, optimized geometry, DFT PBE
data_Y2MnZnC
_cell_length_a 4.981
_cell_length_b 4.981
_cell_length_c 3.758
_cell_angle_alpha 90.00
_cell_angle_beta 90.00
_cell_angle_gamma 90.00
_symmetry_space_group_name_H-M 'P 4/m m m'
_symmetry_Int_Tables_number 123
_symmetry_space_group_name_Hall '-P 4 2'
loop_
_atom_site_label
_atom_site_type_symbol
_atom_site_fract_x
_atom_site_fract_y
_atom_site_fract_z
Y1 Y 0.000 0.500 0.000
Mn1 Mn 0.000 0.000 0.500
Zn1 Zn 0.500 0.500 0.500
C1 C 0.000 0.000 0.000
# * total energy: -6.803 eV per atom
# * density of states at the Fermi level: 5.38 states/eV per cell
# * total magnetization: 0.240 μB per atom
# * formation energy from the elements: -0.28 eV per atom

---

[10]
# YMnZnC, optimized geometry, DFT PBE
data_YMnZnC
_cell_length_a 3.415
_cell_length_b 3.415
_cell_length_c 10.442
_cell_angle_alpha 90.00
_cell_angle_beta 90.00
_cell_angle_gamma 90.00
_symmetry_space_group_name_H-M 'P 4/n m m'
_symmetry_Int_Tables_number 129
loop_
_symmetry_equiv_pos_as_xyz
'x,y,z'
'-x,-y,-z'
'-y+1/2,x,z'
'y+1/2,-x,-z'
'-x+1/2,-y+1/2,z'
'x+1/2,y+1/2,-z'
'y,-x+1/2,z'
'-y,x+1/2,-z'
'x+1/2,-y,-z'
'-x+1/2,y,z'
'-y,-x,-z'
'y,x,z'
'-x,y+1/2,-z'
'x,-y+1/2,z'
'y+1/2,x+1/2,-z'
'-y+1/2,-x+1/2,z'
loop_
_atom_site_label
_atom_site_type_symbol
_atom_site_fract_x
_atom_site_fract_y
_atom_site_fract_z
Y1 Y 0.250 0.250 0.232
Mn1 Mn 0.250 0.750 0.000
Zn1 Zn 0.250 0.750 0.500
C1 C 0.250 0.250 0.891
# * total energy: -6.674 eV per atom
# * density of states at the Fermi level: 5.39 states/eV per cell
# * total magnetization: 0.284 μB per atom
# * formation energy from the elements: -0.14 eV per atom

---

[11]
# Mn3ZnC, optimized geometry, DFT PBE
data_Mn3ZnC
_cell_length_a 5.406
_cell_length_b 11.181
_cell_length_c 3.908
_cell_angle_alpha 90.00
_cell_angle_beta 90.00
_cell_angle_gamma 90.00
_symmetry_space_group_name_H-M 'C m m m'
_symmetry_Int_Tables_number 65
_symmetry_space_group_name_Hall '-C 2 2'
loop_
_atom_site_label
_atom_site_type_symbol
_atom_site_fract_x
_atom_site_fract_y
_atom_site_fract_z
Mn1 Mn 0.000 0.135 0.000
Mn2 Mn 0.247 0.000 0.500
Mn3 Mn 0.250 0.250 0.500
Zn1 Zn 0.000 0.377 0.000
C1 C 0.000 0.125 0.500
# * total energy: -7.575 eV per atom
# * density of states at the Fermi level: 16.00 states/eV per cell
# * total magnetization: 1.485 μB per atom
# * formation energy from the elements: 0.03 eV per atom
# * energy above the lowest structure with this stoichiometry: 47 meV/atom

---

[12]
# Mn3ZnC, optimized geometry, DFT PBE
data_Mn3ZnC
_cell_length_a 3.876
_cell_length_b 3.876
_cell_length_c 3.876
_cell_angle_alpha 90.00
_cell_angle_beta 90.00
_cell_angle_gamma 90.00
_symmetry_space_group_name_H-M 'P m -3 m'
_symmetry_Int_Tables_number 221
_symmetry_space_group_name_Hall '-P 4 2 3'
loop_
_atom_site_label
_atom_site_type_symbol
_atom_site_fract_x
_atom_site_fract_y
_atom_site_fract_z
Mn1 Mn 0.000 0.000 0.500
Zn1 Zn 0.500 0.500 0.500
C1 C 0.000 0.000 0.000
# * total energy: -7.622 eV per atom
# * density of states at the Fermi level: 0.62 states/eV per cell
# * total magnetization: 1.401 μB per atom
# * formation energy from the elements: -0.02 eV per atom
# * energy above the lowest structure with this stoichiometry: 0 meV/atom

---

[13]
# MnZnC3, optimized geometry, DFT PBE
data_MnZnC3
_cell_length_a 3.787
_cell_length_b 3.787
_cell_length_c 3.787
_cell_angle_alpha 90.00
_cell_angle_beta 90.00
_cell_angle_gamma 90.00
_symmetry_space_group_name_H-M 'P m -3 m'
_symmetry_Int_Tables_number 221
_symmetry_space_group_name_Hall '-P 4 2 3'
loop_
_atom_site_label
_atom_site_type_symbol
_atom_site_fract_x
_atom_site_fract_y
_atom_site_fract_z
Mn1 Mn 0.000 0.000 0.000
Zn1 Zn 0.500 0.500 0.500
C1 C 0.000 0.000 0.500
# * total energy: -5.827 eV per atom
# * density of states at the Fermi level: 3.29 states/eV per cell
# * total magnetization: 0.000 μB per atom
# * formation energy from the elements: 1.80 eV per atom
# * energy above the lowest structure with this stoichiometry: 0 meV/atom

---

[14]
# MnZnC3, optimized geometry, DFT PBE
data_MnZnC3
_cell_length_a 3.839
_cell_length_b 3.839
_cell_length_c 3.839
_cell_angle_alpha 90.00
_cell_angle_beta 90.00
_cell_angle_gamma 90.00
_symmetry_space_group_name_H-M 'P m -3 m'
_symmetry_Int_Tables_number 221
_symmetry_space_group_name_Hall '-P 4 2 3'
loop_
_atom_site_label
_atom_site_type_symbol
_atom_site_fract_x
_atom_site_fract_y
_atom_site_fract_z
Mn1 Mn 0.000 0.000 0.000
Zn1 Zn 0.500 0.500 0.500
C1 C 0.000 0.500 0.500
# * total energy: -4.500 eV per atom
# * density of states at the Fermi level: 4.96 states/eV per cell
# * total magnetization: 0.004 μB per atom
# * formation energy from the elements: 3.12 eV per atom
# * energy above the lowest structure with this stoichiometry: 1326 meV/atom

---

[15]
# MnZn2C, optimized geometry, DFT PBE
data_MnZn2C
_cell_length_a 7.286
_cell_length_b 7.286
_cell_length_c 4.003
_cell_angle_alpha 90.00
_cell_angle_beta 90.00
_cell_angle_gamma 90.00
_symmetry_space_group_name_H-M 'I -4 2 d'
_symmetry_Int_Tables_number 122
_symmetry_space_group_name_Hall 'I -4 2bw'
loop_
_atom_site_label
_atom_site_type_symbol
_atom_site_fract_x
_atom_site_fract_y
_atom_site_fract_z
Mn1 Mn 0.000 0.000 0.000
Zn1 Zn 0.144 0.250 0.625
C1 C 0.000 0.000 0.500
# * total energy: -4.659 eV per atom
# * density of states at the Fermi level: 3.72 states/eV per cell
# * total magnetization: 0.747 μB per atom
# * formation energy from the elements: 0.58 eV per atom

---

[16]
# MnZn3C, optimized geometry, DFT PBE
data_MnZn3C
_cell_length_a 4.582
_cell_length_b 4.582
_cell_length_c 4.582
_cell_angle_alpha 90.00
_cell_angle_beta 90.00
_cell_angle_gamma 90.00
_symmetry_space_group_name_H-M 'P m -3 m'
_symmetry_Int_Tables_number 221
_symmetry_space_group_name_Hall '-P 4 2 3'
loop_
_atom_site_label
_atom_site_type_symbol
_atom_site_fract_x
_atom_site_fract_y
_atom_site_fract_z
Mn1 Mn 0.000 0.000 0.000
Zn1 Zn 0.000 0.000 0.500
C1 C 0.500 0.500 0.500
# * total energy: -2.362 eV per atom
# * density of states at the Fermi level: 6.30 states/eV per cell
# * total magnetization: 0.000 μB per atom
# * formation energy from the elements: 2.08 eV per atom
# * energy above the lowest structure with this stoichiometry: 1299 meV/atom

---

[17]
# MnZn3C, optimized geometry, DFT PBE
data_MnZn3C
_cell_length_a 4.138
_cell_length_b 4.138
_cell_length_c 4.138
_cell_angle_alpha 90.00
_cell_angle_beta 90.00
_cell_angle_gamma 90.00
_symmetry_space_group_name_H-M 'P m -3 m'
_symmetry_Int_Tables_number 221
_symmetry_space_group_name_Hall '-P 4 2 3'
loop_
_atom_site_label
_atom_site_type_symbol
_atom_site_fract_x
_atom_site_fract_y
_atom_site_fract_z
Mn1 Mn 0.000 0.000 0.000
Zn1 Zn 0.000 0.500 0.500
C1 C 0.500 0.500 0.500
# * total energy: -3.661 eV per atom
# * density of states at the Fermi level: 1.80 states/eV per cell
# * total magnetization: 0.725 μB per atom
# * formation energy from the elements: 0.78 eV per atom
# * energy above the lowest structure with this stoichiometry: 0 meV/atom

---

[18]
# MnZnC2, optimized geometry, DFT PBE
data_MnZnC2
_cell_length_a 4.584
_cell_length_b 4.584
_cell_length_c 8.786
_cell_angle_alpha 90.00
_cell_angle_beta 90.00
_cell_angle_gamma 90.00
_symmetry_space_group_name_H-M 'I -4 2 d'
_symmetry_Int_Tables_number 122
_symmetry_space_group_name_Hall 'I -4 2bw'
loop_
_atom_site_label
_atom_site_type_symbol
_atom_site_fract_x
_atom_site_fract_y
_atom_site_fract_z
Mn1 Mn 0.000 0.000 0.000
Zn1 Zn 0.000 0.000 0.500
C1 C 0.198 0.250 0.125
# * total energy: -6.394 eV per atom
# * density of states at the Fermi level: 9.26 states/eV per cell
# * total magnetization: 0.212 μB per atom
# * formation energy from the elements: 0.83 eV per atom

---

[19]
# ZrMn2ZnC, optimized geometry, DFT PBE
data_ZrMn2ZnC
_cell_length_a 3.893
_cell_length_b 3.893
_cell_length_c 4.498
_cell_angle_alpha 90.00
_cell_angle_beta 90.00
_cell_angle_gamma 90.00
_symmetry_space_group_name_H-M 'P 4/m m m'
_symmetry_Int_Tables_number 123
_symmetry_space_group_name_Hall '-P 4 2'
loop_
_atom_site_label
_atom_site_type_symbol
_atom_site_fract_x
_atom_site_fract_y
_atom_site_fract_z
Zr1 Zr 0.000 0.000 0.000
Mn1 Mn 0.000 0.500 0.500
Zn1 Zn 0.500 0.500 0.000
C1 C 0.000 0.000 0.500
# * total energy: -7.544 eV per atom
# * density of states at the Fermi level: 4.66 states/eV per cell
# * total magnetization: 0.634 μB per atom
# * formation energy from the elements: -0.07 eV per atom

---

[20]
# ZrMnZn2C, optimized geometry, DFT PBE
data_ZrMnZn2C
_cell_length_a 4.528
_cell_length_b 4.528
_cell_length_c 4.610
_cell_angle_alpha 90.00
_cell_angle_beta 90.00
_cell_angle_gamma 90.00
_symmetry_space_group_name_H-M 'P 4/m m m'
_symmetry_Int_Tables_number 123
_symmetry_space_group_name_Hall '-P 4 2'
loop_
_atom_site_label
_atom_site_type_symbol
_atom_site_fract_x
_atom_site_fract_y
_atom_site_fract_z
Zr1 Zr 0.000 0.000 0.000
Mn1 Mn 0.000 0.000 0.500
Zn1 Zn 0.000 0.500 0.500
C1 C 0.500 0.500 0.000
# * total energy: -4.345 eV per atom
# * density of states at the Fermi level: 4.12 states/eV per cell
# * total magnetization: 0.364 μB per atom
# * formation energy from the elements: 1.55 eV per atom